Entry 1:
# Sc2Sn2Se PBE-GGA optimized geometry
data_Sc2Sn2Se
_chemical_formula_sum 'Sc4 Sn4 Se2'
_space_group_name_H-M_alt 'P 4/m b m'
_space_group_IT_number 127
_space_group_name_Hall '-P 4 2ab'
_cell_length_a 7.2337
_cell_length_b 7.2337
_cell_length_c 4.5134
_cell_angle_alpha 90.00
_cell_angle_beta 90.00
_cell_angle_gamma 90.00
loop_
_atom_site_label
_atom_site_fract_x
_atom_site_fract_y
_atom_site_fract_z
Sc1 0.1705 0.3295 0.0000
Sn1 0.1401 0.6401 0.5000
Se1 0.0000 0.0000 0.0000
# Volume (Å³/atom): 23.62
# Total magnetization (μB per formula unit): 0.00
# Density of states at the Fermi level (states/eV per atom): 0.352
# Raw formation energy (eV per atom): -0.788


Entry 2:
# Ho4AgOs PBE-GGA optimized geometry
data_Ho4AgOs
_chemical_formula_sum 'Ho4 Ag1 Os1'
_space_group_name_H-M_alt 'P 4/m m m'
_space_group_IT_number 123
_space_group_name_Hall '-P 4 2'
_cell_length_a 4.8443
_cell_length_b 4.8443
_cell_length_c 7.0419
_cell_angle_alpha 90.00
_cell_angle_beta 90.00
_cell_angle_gamma 90.00
loop_
_atom_site_label
_atom_site_fract_x
_atom_site_fract_y
_atom_site_fract_z
Ho1 0.0000 0.5000 0.2310
Ag1 0.0000 0.0000 0.5000
Os1 0.5000 0.5000 0.0000
# Volume (Å³/atom): 27.54
# Total magnetization (μB per formula unit): 0.00
# Density of states at the Fermi level (states/eV per atom): 1.065
# Formation energy from the elements (eV/atom): -0.14